[1]
ScCoOs | PBE | optimized geometry

Cell and atoms, written as CIF:
```
data_ScCoOs
_chemical_formula_sum 'Sc2 Co2 Os2'
_cell_length_a 2.777
_cell_length_b 2.777
_cell_length_c 11.562
_cell_angle_alpha 90.00
_cell_angle_beta 90.00
_cell_angle_gamma 90.00
_symmetry_space_group_name_H-M 'I 4 m m'
_symmetry_Int_Tables_number 107
_symmetry_space_group_name_Hall 'I 4 -2'
loop_
_atom_site_label
_atom_site_type_symbol
_atom_site_fract_x
_atom_site_fract_y
_atom_site_fract_z
Sc1 Sc 0.000 0.000 0.000
Co1 Co 0.000 0.000 0.322
Os1 Os 0.000 0.000 0.689
```

E above lowest polymorph: 0.319 eV per atom



[2]
Sc4CoOs3 | PBE | optimized geometry

Cell and atoms, written as CIF:
```
data_Sc4CoOs3
_chemical_formula_sum 'Sc16 Co4 Os12'
_cell_length_a 6.390
_cell_length_b 6.398
_cell_length_c 12.817
_cell_angle_alpha 90.00
_cell_angle_beta 90.00
_cell_angle_gamma 90.00
_symmetry_space_group_name_H-M 'F m m m'
_symmetry_Int_Tables_number 69
_symmetry_space_group_name_Hall '-F 2 2'
loop_
_atom_site_label
_atom_site_type_symbol
_atom_site_fract_x
_atom_site_fract_y
_atom_site_fract_z
Sc1 Sc 0.250 0.250 0.124
Co1 Co 0.000 0.000 0.000
Os1 Os 0.000 0.000 0.250
Os2 Os 0.000 0.000 0.500
```



[3]
Sc3Co2Os | PBE | optimized geometry

Cell and atoms, written as CIF:
```
data_Sc3Co2Os
_chemical_formula_sum 'Sc3 Co2 Os1'
_cell_length_a 3.156
_cell_length_b 3.156
_cell_length_c 9.475
_cell_angle_alpha 90.00
_cell_angle_beta 90.00
_cell_angle_gamma 90.00
_symmetry_space_group_name_H-M 'P 4/m m m'
_symmetry_Int_Tables_number 123
_symmetry_space_group_name_Hall '-P 4 2'
loop_
_atom_site_label
_atom_site_type_symbol
_atom_site_fract_x
_atom_site_fract_y
_atom_site_fract_z
Sc1 Sc 0.000 0.000 0.000
Sc2 Sc 0.000 0.000 0.330
Co1 Co 0.500 0.500 0.160
Os1 Os 0.500 0.500 0.500
```



[4]
ScCoSi2Os | PBE | optimized geometry

Cell and atoms, written as CIF:
```
data_ScCoSi2Os
_chemical_formula_sum 'Sc2 Co2 Si4 Os2'
_cell_length_a 3.959
_cell_length_b 3.959
_cell_length_c 9.583
_cell_angle_alpha 90.00
_cell_angle_beta 90.00
_cell_angle_gamma 90.00
_symmetry_space_group_name_H-M 'I -4 m 2'
_symmetry_Int_Tables_number 119
_symmetry_space_group_name_Hall 'I -4 -2'
loop_
_atom_site_label
_atom_site_type_symbol
_atom_site_fract_x
_atom_site_fract_y
_atom_site_fract_z
Sc1 Sc 0.000 0.000 0.000
Co1 Co 0.000 0.500 0.750
Si1 Si 0.000 0.000 0.376
Os1 Os 0.000 0.500 0.250
```

formation energy without anion corrections: -0.6978 eV/atom



[5]
ScCoSiOs | PBE | optimized geometry

Cell and atoms, written as CIF:
```
data_ScCoSiOs
_chemical_formula_sum 'Sc4 Co4 Si4 Os4'
_cell_length_a 6.019
_cell_length_b 6.019
_cell_length_c 6.019
_cell_angle_alpha 90.00
_cell_angle_beta 90.00
_cell_angle_gamma 90.00
_symmetry_space_group_name_H-M 'F -4 3 m'
_symmetry_Int_Tables_number 216
_symmetry_space_group_name_Hall 'F -4 2 3'
loop_
_atom_site_label
_atom_site_type_symbol
_atom_site_fract_x
_atom_site_fract_y
_atom_site_fract_z
Sc1 Sc 0.000 0.000 0.000
Co1 Co 0.250 0.250 0.250
Si1 Si 0.000 0.000 0.500
Os1 Os 0.250 0.250 0.750
```

formation energy without anion corrections: -0.4702 eV/atom



[6]
SmScCoOs | PBE | optimized geometry

Cell and atoms, written as CIF:
```
data_SmScCoOs
_chemical_formula_sum 'Sm4 Sc4 Co4 Os4'
_cell_length_a 6.644
_cell_length_b 6.644
_cell_length_c 6.644
_cell_angle_alpha 90.00
_cell_angle_beta 90.00
_cell_angle_gamma 90.00
_symmetry_space_group_name_H-M 'F -4 3 m'
_symmetry_Int_Tables_number 216
_symmetry_space_group_name_Hall 'F -4 2 3'
loop_
_atom_site_label
_atom_site_type_symbol
_atom_site_fract_x
_atom_site_fract_y
_atom_site_fract_z
Sm1 Sm 0.000 0.000 0.000
Sc1 Sc 0.000 0.000 0.500
Co1 Co 0.250 0.250 0.750
Os1 Os 0.250 0.250 0.250
```



no.,E (eV per atom)
1,-8.2825
2,-8.6015
3,-7.7679
4,-7.8004
5,-7.9928
6,-7.4514